{"formula": "Ti2SbIr", "functional": "PBEsol", "state": "optimized geometry", "formation_energy_uncorrected_kcal_per_mol_atoms": -5.08, "dft_energy_ev_per_atom": -7.9768, "magnetic_moment_mub_per_cell": 0.00, "lattice_angstrom": [[-3.600, 3.600, 2.823], [3.600, -3.600, 2.823], [3.600, 3.600, -2.823]], "species": ["Ti", "Ti", "Ti", "Ti", "Sb", "Sb", "Ir", "Ir"], "frac_coords": [[0.085, 0.625, 0.960], [0.375, 0.335, 0.460], [0.665, 0.125, 0.040], [0.875, 0.915, 0.540], [0.250, 0.750, 0.500], [0.500, 0.500, 0.000], [0.000, 0.000, 0.000], [0.750, 0.250, 0.500]]}

{"formula": "TaAlAsSe2", "functional": "PBEsol", "state": "optimized geometry", "formation_energy_uncorrected_kcal_per_mol_atoms": 2.31, "relative_energy_mev_per_atom": 0, "dft_energy_ev_per_atom": -5.7897, "magnetic_moment_mub_per_cell": 0.00, "lattice_angstrom": [[4.966, 0.000, 0.000], [0.000, 4.966, 0.000], [0.000, 0.000, 5.021]], "species": ["Ta", "Al", "As", "Se", "Se"], "frac_coords": [[0.000, 0.000, 0.000], [0.500, 0.500, 0.500], [0.000, 0.000, 0.500], [0.000, 0.500, 0.000], [0.500, 0.000, 0.000]]}

{"formula": "MoWC", "functional": "PBEsol", "state": "optimized geometry", "dft_energy_ev_per_atom": -11.8164, "e_form_ev_per_atom": -0.077, "magnetic_moment_mub_per_cell": 0.00, "lattice_angstrom": [[3.034, 0.000, 0.000], [-1.517, 2.628, 0.000], [0.000, 0.000, 4.630]], "species": ["Mo", "W", "C"], "frac_coords": [[0.000, 0.000, 0.000], [0.333, 0.667, 0.505], [0.667, 0.333, 0.251]]}

{"formula": "Ge2Bi2Au", "functional": "PBEsol", "state": "optimized geometry", "dft_energy_ev_per_atom": -4.4219, "e_form_ev_per_atom": 0.053, "magnetic_moment_mub_per_cell": 0.00, "lattice_angstrom": [[6.455, 0.000, 0.000], [0.000, 6.455, 0.000], [0.000, 0.000, 5.877]], "species": ["Ge", "Ge", "Ge", "Ge", "Bi", "Bi", "Bi", "Bi", "Au", "Au"], "frac_coords": [[0.136, 0.364, 0.000], [0.364, 0.864, 0.000], [0.636, 0.136, 0.000], [0.864, 0.636, 0.000], [0.190, 0.310, 0.500], [0.310, 0.810, 0.500], [0.690, 0.190, 0.500], [0.810, 0.690, 0.500], [0.000, 0.000, 0.000], [0.500, 0.500, 0.000]]}

{"formula": "GaGe2H5CNO6", "functional": "PBEsol", "state": "optimized geometry", "dft_energy_ev_per_atom": -6.0903, "magnetic_moment_mub_per_cell": 0.00, "lattice_angstrom": [[7.134, 0.000, 0.000], [-2.562, 7.191, 0.000], [-1.419, -3.707, 6.541]], "species": ["Ga", "Ga", "Ge", "Ge", "Ge", "Ge", "H", "H", "H", "H", "H", "H", "H", "H", "H", "H", "C", "C", "N", "N", "O", "O", "O", "O", "O", "O", "O", "O", "O", "O", "O", "O"], "frac_coords": [[0.086, 0.316, 0.244], [0.914, 0.684, 0.756], [0.240, 0.817, 0.525], [0.283, 0.974, 0.192], [0.717, 0.026, 0.808], [0.760, 0.183, 0.475], [0.233, 0.374, 0.625], [0.287, 0.516, 0.981], [0.313, 0.273, 0.886], [0.477, 0.606, 0.767], [0.480, 0.374, 0.669], [0.520, 0.626, 0.331], [0.523, 0.394, 0.233], [0.687, 0.727, 0.114], [0.713, 0.484, 0.019], [0.767, 0.626, 0.375], [0.387, 0.441, 0.923], [0.613, 0.559, 0.077], [0.391, 0.448, 0.734], [0.609, 0.552, 0.266], [0.003, 0.268, 0.441], [0.122, 0.730, 0.970], [0.236, 0.979, 0.414], [0.258, 0.187, 0.176], [0.284, 0.603, 0.376], [0.448, 0.982, 0.769], [0.552, 0.018, 0.231], [0.716, 0.397, 0.624], [0.742, 0.813, 0.824], [0.764, 0.021, 0.586], [0.878, 0.270, 0.030], [0.997, 0.732, 0.559]]}

{"formula": "TaCu2Mo", "functional": "PBEsol", "state": "optimized geometry", "relative_energy_mev_per_atom": 301, "dft_energy_ev_per_atom": -7.7996, "e_form_ev_per_atom": 0.447, "magnetic_moment_mub_per_cell": 0.01, "lattice_angstrom": [[0.000, 3.063, 3.063], [3.063, 0.000, 3.063], [3.063, 3.063, 0.000]], "species": ["Ta", "Cu", "Cu", "Mo"], "frac_coords": [[0.000, 0.000, 0.000], [0.250, 0.250, 0.250], [0.500, 0.500, 0.500], [0.750, 0.750, 0.750]]}

{"formula": "Hf2IrPd", "functional": "PBEsol", "state": "optimized geometry", "dft_energy_ev_per_atom": -10.0113, "e_form_ev_per_atom": -0.814, "magnetic_moment_mub_per_cell": 0.00, "lattice_angstrom": [[0.000, 3.256, 3.256], [3.256, 0.000, 3.256], [3.256, 3.256, 0.000]], "species": ["Hf", "Hf", "Ir", "Pd"], "frac_coords": [[0.250, 0.250, 0.250], [0.750, 0.750, 0.750], [0.000, 0.000, 0.000], [0.500, 0.500, 0.500]]}

{"formula": "LiMgRh2", "functional": "PBEsol", "state": "optimized geometry", "dft_energy_ev_per_atom": -5.1925, "e_form_ev_per_atom": -0.202, "magnetic_moment_mub_per_cell": 0.00, "lattice_angstrom": [[4.289, -1.385, 0.000], [4.289, 1.385, 0.000], [-0.961, 0.000, 4.632]], "species": ["Li", "Mg", "Rh", "Rh"], "frac_coords": [[0.000, 0.000, 0.000], [0.500, 0.500, 0.500], [0.251, 0.251, 0.763], [0.749, 0.749, 0.237]]}

{"formula": "MoIr2Rh", "functional": "PBEsol", "state": "optimized geometry", "relative_energy_mev_per_atom": 98, "dft_energy_ev_per_atom": -10.0561, "e_form_ev_per_atom": -0.168, "magnetic_moment_mub_per_cell": 0.00, "lattice_angstrom": [[2.711, 0.000, 0.000], [0.000, 2.711, 0.000], [0.000, 0.000, 7.696]], "species": ["Mo", "Ir", "Ir", "Rh"], "frac_coords": [[0.000, 0.000, 0.000], [0.500, 0.500, 0.250], [0.500, 0.500, 0.750], [0.000, 0.000, 0.500]]}

{"formula": "YInPt", "functional": "PBEsol", "state": "optimized geometry", "dft_energy_ev_per_atom": -6.4339, "e_form_ev_per_atom": -0.844, "magnetic_moment_mub_per_cell": 0.00, "lattice_angstrom": [[0.000, 3.290, 3.290], [3.290, 0.000, 3.290], [3.290, 3.290, 0.000]], "species": ["Y", "In", "Pt"], "frac_coords": [[0.000, 0.000, 0.000], [0.500, 0.500, 0.500], [0.250, 0.250, 0.250]]}

{"formula": "AgSnSe2", "functional": "PBEsol", "state": "optimized geometry", "formation_energy_uncorrected_kcal_per_mol_atoms": 2.82, "dft_energy_ev_per_atom": -3.6955, "magnetic_moment_mub_per_cell": 0.00, "lattice_angstrom": [[1.808, 1.044, 8.706], [-1.808, 1.044, 8.706], [0.000, -2.088, 8.706]], "species": ["Ag", "Sn", "Se", "Se"], "frac_coords": [[0.000, 0.000, 0.000], [0.500, 0.500, 0.500], [0.393, 0.393, 0.393], [0.607, 0.607, 0.607]]}

{"formula": "BaPrCuTe3", "functional": "PBEsol", "state": "optimized geometry", "formation_energy_uncorrected_kcal_per_mol_atoms": -28.32, "dft_energy_ev_per_atom": -4.9359, "magnetic_moment_mub_per_cell": 0.00, "lattice_angstrom": [[2.219, -7.356, 0.000], [2.219, 7.356, 0.000], [0.000, 0.000, 11.613]], "species": ["Ba", "Ba", "Pr", "Pr", "Cu", "Cu", "Te", "Te", "Te", "Te", "Te", "Te"], "frac_coords": [[0.248, 0.752, 0.750], [0.752, 0.248, 0.250], [0.500, 0.500, 0.000], [0.500, 0.500, 0.500], [0.033, 0.967, 0.250], [0.967, 0.033, 0.750], [0.142, 0.858, 0.069], [0.142, 0.858, 0.431], [0.430, 0.570, 0.250], [0.570, 0.430, 0.750], [0.858, 0.142, 0.569], [0.858, 0.142, 0.931]]}

{"formula": "SiP2Ru", "functional": "PBEsol", "state": "optimized geometry", "formation_energy_uncorrected_kcal_per_mol_atoms": -0.95, "dft_energy_ev_per_atom": -6.9167, "magnetic_moment_mub_per_cell": 0.00, "lattice_angstrom": [[2.937, 0.000, 0.000], [0.000, 2.937, 0.000], [0.000, 0.000, 6.606]], "species": ["Si", "P", "P", "Ru"], "frac_coords": [[0.000, 0.000, 0.000], [0.000, 0.000, 0.554], [0.500, 0.500, 0.177], [0.500, 0.500, 0.763]]}

{"formula": "BiIr3C", "functional": "PBEsol", "state": "optimized geometry", "dft_energy_ev_per_atom": -8.0609, "e_form_ev_per_atom": 0.619, "magnetic_moment_mub_per_cell": 0.00, "lattice_angstrom": [[4.215, 0.000, 0.000], [0.000, 4.215, 0.000], [0.000, 0.000, 4.215]], "species": ["Bi", "Ir", "Ir", "Ir", "C"], "frac_coords": [[0.000, 0.000, 0.000], [0.000, 0.500, 0.500], [0.500, 0.000, 0.500], [0.500, 0.500, 0.000], [0.500, 0.500, 0.500]]}

{"formula": "ReHg3N", "functional": "PBEsol", "state": "optimized geometry", "formation_energy_uncorrected_kcal_per_mol_atoms": 38.68, "dft_energy_ev_per_atom": -3.0347, "magnetic_moment_mub_per_cell": 2.44, "lattice_angstrom": [[4.493, 0.000, 0.000], [0.000, 4.493, 0.000], [0.000, 0.000, 4.493]], "species": ["Re", "Hg", "Hg", "Hg", "N"], "frac_coords": [[0.000, 0.000, 0.000], [0.000, 0.500, 0.500], [0.500, 0.000, 0.500], [0.500, 0.500, 0.000], [0.500, 0.500, 0.500]]}

{"formula": "ReNiW2", "functional": "PBEsol", "state": "optimized geometry", "relative_energy_mev_per_atom": 59, "dft_energy_ev_per_atom": -11.6587, "e_form_ev_per_atom": 0.117, "magnetic_moment_mub_per_cell": 0.00, "lattice_angstrom": [[1.607, -2.121, 0.000], [1.607, 2.121, 0.000], [0.000, 0.000, 8.330]], "species": ["Re", "Ni", "W", "W"], "frac_coords": [[0.000, 0.000, 0.000], [0.500, 0.500, 0.233], [0.000, 0.000, 0.468], [0.500, 0.500, 0.737]]}

{"formula": "Hf3TiN", "functional": "PBEsol", "state": "optimized geometry", "formation_energy_uncorrected_kcal_per_mol_atoms": -18.36, "dft_energy_ev_per_atom": -10.4678, "magnetic_moment_mub_per_cell": 0.00, "lattice_angstrom": [[4.395, 0.000, 0.000], [0.000, 4.395, 0.000], [0.000, 0.000, 4.395]], "species": ["Hf", "Hf", "Hf", "Ti", "N"], "frac_coords": [[0.000, 0.000, 0.500], [0.000, 0.500, 0.000], [0.500, 0.000, 0.000], [0.500, 0.500, 0.500], [0.000, 0.000, 0.000]]}

{"formula": "PPd6", "functional": "PBEsol", "state": "optimized geometry", "dft_energy_ev_per_atom": -6.2632, "e_form_ev_per_atom": -0.328, "magnetic_moment_mub_per_cell": 0.00, "lattice_angstrom": [[5.677, 0.000, 0.000], [0.000, 9.405, 0.000], [-2.859, 0.000, 7.642]], "species": ["P", "P", "P", "P", "Pd", "Pd", "Pd", "Pd", "Pd", "Pd", "Pd", "Pd", "Pd", "Pd", "Pd", "Pd", "Pd", "Pd", "Pd", "Pd", "Pd", "Pd", "Pd", "Pd", "Pd", "Pd", "Pd", "Pd"], "frac_coords": [[0.122, 0.240, 0.249], [0.122, 0.260, 0.749], [0.878, 0.740, 0.251], [0.878, 0.760, 0.751], [0.043, 0.636, 0.064], [0.043, 0.864, 0.564], [0.135, 0.578, 0.748], [0.135, 0.922, 0.248], [0.229, 0.634, 0.431], [0.229, 0.866, 0.931], [0.288, 0.135, 0.063], [0.288, 0.365, 0.563], [0.382, 0.080, 0.748], [0.382, 0.420, 0.248], [0.473, 0.133, 0.432], [0.473, 0.367, 0.932], [0.527, 0.633, 0.068], [0.527, 0.867, 0.568], [0.618, 0.580, 0.752], [0.618, 0.920, 0.252], [0.712, 0.635, 0.437], [0.712, 0.865, 0.937], [0.771, 0.134, 0.069], [0.771, 0.366, 0.569], [0.865, 0.078, 0.752], [0.865, 0.422, 0.252], [0.957, 0.136, 0.436], [0.957, 0.364, 0.936]]}

{"formula": "BaIO2F", "functional": "PBEsol", "state": "optimized geometry", "formation_energy_uncorrected_kcal_per_mol_atoms": -33.58, "dft_energy_ev_per_atom": -4.7245, "magnetic_moment_mub_per_cell": 0.00, "lattice_angstrom": [[4.177, 0.000, 0.000], [0.000, 4.177, 0.000], [0.000, 0.000, 5.467]], "species": ["Ba", "I", "O", "O", "F"], "frac_coords": [[0.000, 0.000, 0.000], [0.500, 0.500, 0.500], [0.000, 0.500, 0.500], [0.500, 0.000, 0.500], [0.500, 0.500, 0.000]]}

{"formula": "Ag2Au", "functional": "PBEsol", "state": "optimized geometry", "relative_energy_mev_per_atom": 0, "dft_energy_ev_per_atom": -3.5643, "e_form_ev_per_atom": -0.049, "magnetic_moment_mub_per_cell": 0.00, "lattice_angstrom": [[-1.423, 2.035, 4.309], [1.423, -2.035, 4.309], [1.423, 2.035, -4.309]], "species": ["Ag", "Ag", "Au"], "frac_coords": [[0.167, 0.167, 0.000], [0.833, 0.833, 0.000], [0.500, 0.500, 0.000]]}